First-principles (PBE) data for a relaxed structure of TlHgMo2, as listed in the Alexandria database.

Its crystal system is orthorhombic. The calculation puts the distance to the lowest polymorph of the same formula at 0.001 eV/atom.

The structure belongs to space group Cmm2 (No. 35); the cell edges are 3.257, 5.069 and 10.051 Å and the angles 90.00°, 90.00° and 90.00°. Symmetry generates all atoms from Tl at (0.000, 0.000, 0.000), Hg at (0.000, 0.500, 0.703), Mo at (0.000, 0.000, 0.453) and Mo at (0.000, 0.500, 0.266).